ScTlTe2, optimized geometry, DFT PBE; formation energy without anion corrections = -2.2 eV/f.u.; space group = Immm, No. 71; calculated total energy = -4.29 eV/atom
1.0
4.207 0.000 0.000
0.000 7.020 0.000
0.000 0.000 9.183
Sc Tl Te
2 2 4
direct
0.000 0.000 0.000
0.500 0.500 0.500
0.000 0.000 0.500
0.500 0.500 0.000
0.000 0.500 0.291
0.000 0.500 0.709
0.500 0.000 0.209
0.500 0.000 0.791

---

Tb3Pm7Y2, optimized geometry, DFT PBE; distance to the lowest polymorph of the same formula = 0 meV per atom; E_form = 0.0709 eV per atom; space group = P2/m, No. 10; calculated total energy = -4.94 eV/atom
1.0
6.456 0.000 0.000
0.000 3.568 0.000
-1.839 0.000 17.539
Tb Pm Y
3 7 2
direct
0.000 0.000 0.000
0.048 0.500 0.660
0.952 0.500 0.340
0.225 0.500 0.167
0.242 0.000 0.504
0.275 0.000 0.830
0.500 0.500 0.000
0.725 0.000 0.170
0.758 0.000 0.496
0.775 0.500 0.833
0.442 0.000 0.330
0.558 0.000 0.670

---

ScOsRh3, optimized geometry, DFT PBE; distance to the lowest polymorph of the same formula = 635 meV per atom; E_form = 1.3999 eV per atom; space group = Pm-3m, No. 221; calculated total energy = -6.52 eV/atom
1.0
4.538 0.000 0.000
0.000 4.538 0.000
0.000 0.000 4.538
Sc Os Rh
1 1 3
direct
0.000 0.000 0.000
0.500 0.500 0.500
0.000 0.000 0.500
0.000 0.500 0.000
0.500 0.000 0.000